1.
DFT (GGA-PBE) results for an optimized crystal structure of HoTmCdRh.

Properties
- Mass density: 10.08 g/cm3
- DOS(E_F): 0.588 states/eV per atom
- V: 90.5 Å³ per cell
- Energy of formation: -2.59 eV per formula unit

abc: 3.476 3.476 7.490
angles: 90.00 90.00 90.00
Positions (direct):
Cd 0.000 0.000 0.075
Ho 0.500 0.500 0.788
Tm 0.500 0.500 0.354
Rh 0.000 0.000 0.567

---

2.
DFT (GGA-PBE) results for an optimized crystal structure of YHoCdRh.

Properties
- Mass density: 8.56 g/cm3
- DOS(E_F): 0.579 states/eV per atom
- V: 91.0 Å³ per cell
- Energy of formation: -2.16 eV per formula unit

abc: 5.049 5.049 5.049
angles: 60.00 60.00 60.00
Positions (direct):
Cd 0.500 0.500 0.500
Y 0.750 0.750 0.750
Ho 0.250 0.250 0.250
Rh 0.000 0.000 0.000

---

3.
DFT (GGA-PBE) results for an optimized crystal structure of HoZrCdRh.

Properties
- Mass density: 9.27 g/cm3
- DOS(E_F): 1.067 states/eV per atom
- V: 84.4 Å³ per cell
- Energy of formation: -1.49 eV per formula unit

abc: 4.924 4.924 4.924
angles: 60.00 60.00 60.00
Positions (direct):
Ho 0.500 0.500 0.500
Zr 0.000 0.000 0.000
Rh 0.250 0.250 0.250
Cd 0.750 0.750 0.750

---

4.
DFT (GGA-PBE) results for an optimized crystal structure of Ho7CdRu4.

Properties
- Mass density: 9.74 g/cm3
- DOS(E_F): 0.711 states/eV per atom
- V: 284.9 Å³ per cell
- Energy of formation: -1.41 eV per formula unit

abc: 5.429 8.277 7.298
angles: 76.01 68.17 70.86
Positions (direct):
Ho 0.786 0.877 0.551
Ho 0.214 0.123 0.449
Ho 0.925 0.373 0.778
Ho 0.500 0.000 0.000
Ho 0.320 0.632 0.729
Ho 0.680 0.368 0.271
Ho 0.075 0.627 0.222
Ru 0.699 0.652 0.950
Ru 0.565 0.223 0.647
Ru 0.435 0.777 0.353
Ru 0.301 0.348 0.050
Cd 0.000 0.000 0.000

---

Question: energy of formation of number 1 (HoTmCdRh)?
Answer: -2.59 eV per formula unit

---

Question: Look up the mass density of the first one.
Answer: 10.08 g/cm3

---

Question: What is the formula in the second record?
Answer: YHoCdRh

---

Question: Which formula does entry 3 have?
Answer: HoZrCdRh